Entry 1:
DFT (PBE) results for Zr3HgRu after structural relaxation.

POSCAR file:
```
Zr3HgRu
1.0
5.0114 0.0000 0.0000
0.0000 5.0114 0.0000
0.0000 0.0000 5.0114
Zr Hg Ru
3 1 1
direct
0.0000 0.0000 0.5000
0.0000 0.5000 0.0000
0.5000 0.0000 0.0000
0.5000 0.5000 0.5000
0.0000 0.0000 0.0000
```

DOS at the Fermi energy: 1.708 states/eV/atom
Crystal system: cubic
Space-group type: Pm-3m
Magnetization: 0.00 μB/f.u.
Polymorph energy (0 for the lowest one): 0 meV/atom

***

Entry 2:
DFT (PBE) results for ZrHg2Ru after structural relaxation.

POSCAR file:
```
ZrHg2Ru
1.0
3.9522 0.0000 0.0000
0.0000 4.1847 0.0000
0.0000 0.0000 4.6649
Zr Hg Ru
1 2 1
direct
0.0000 0.0000 0.0000
0.0000 0.5000 0.5000
0.5000 0.0000 0.5000
0.5000 0.5000 0.0000
```

DOS at the Fermi energy: 0.979 states/eV/atom
Crystal system: orthorhombic
Space-group type: Pmmm
Magnetization: 0.00 μB/f.u.
Polymorph energy (0 for the lowest one): 152 meV/atom

***

Entry 3:
DFT (PBE) results for Zr4HgRu after structural relaxation.

POSCAR file:
```
Zr4HgRu
1.0
0.0000 3.9767 3.9767
3.9767 0.0000 3.9767
3.9767 3.9767 0.0000
Zr Hg Ru
4 1 1
direct
0.3766 0.3766 0.3766
0.3766 0.3766 0.8701
0.3766 0.8701 0.3766
0.8701 0.3766 0.3766
0.0000 0.0000 0.0000
0.7500 0.7500 0.7500
```

DOS at the Fermi energy: 0.855 states/eV/atom
Crystal system: cubic
Space-group type: F-43m
Magnetization: 0.00 μB/f.u.

***

Entry 4:
DFT (PBE) results for HgS after structural relaxation.

POSCAR file:
```
HgS
1.0
4.3775 0.0000 0.0000
-2.1888 3.7911 0.0000
0.0000 0.0000 9.7121
Hg S
3 3
direct
0.0000 0.2491 0.1667
0.2491 0.0000 0.8333
0.7509 0.7509 0.5000
0.0000 0.5355 0.6667
0.4645 0.4645 0.0000
0.5355 0.0000 0.3333
```

DOS at the Fermi energy: 0.000 states/eV/atom
Crystal system: trigonal
Space-group type: P3_121
Magnetization: 0.00 μB/f.u.

***

Entry 5:
DFT (PBE) results for HgS2 after structural relaxation.

POSCAR file:
```
HgS2
1.0
3.2105 0.0000 0.0000
-1.5955 3.9922 0.0000
-1.5999 -1.5169 5.8230
Hg S
1 2
direct
0.0000 0.0000 0.0000
0.4629 0.5709 0.3555
0.5371 0.4291 0.6445
```

DOS at the Fermi energy: 0.447 states/eV/atom
Crystal system: triclinic
Space-group type: P-1
Magnetization: 0.00 μB/f.u.

***

Entry 6:
DFT (PBE) results for HgS after structural relaxation.

POSCAR file:
```
HgS
1.0
0.0000 5.8882 6.3799
3.8470 0.0000 6.3799
3.8470 5.8882 0.0000
Hg S
4 4
direct
0.0852 0.6648 0.0852
0.3352 0.9148 0.3352
0.6648 0.0852 0.6648
0.9148 0.3352 0.9148
0.0174 0.0174 0.7326
0.2674 0.2674 0.9826
0.7326 0.7326 0.0174
0.9826 0.9826 0.2674
```

Crystal system: orthorhombic
Space-group type: Fddd
Magnetization: 0.00 μB/f.u.

***

Entry 7:
DFT (PBE) results for HgS after structural relaxation.

POSCAR file:
```
HgS
1.0
7.3702 0.0000 0.0000
0.0000 7.3702 0.0000
0.0000 0.0000 7.3702
Hg S
6 6
direct
0.0000 0.2500 0.5000
0.0000 0.7500 0.5000
0.2500 0.5000 0.0000
0.5000 0.0000 0.2500
0.5000 0.0000 0.7500
0.7500 0.5000 0.0000
0.0000 0.5000 0.2500
0.0000 0.5000 0.7500
0.2500 0.0000 0.5000
0.5000 0.2500 0.0000
0.5000 0.7500 0.0000
0.7500 0.0000 0.5000
```

DOS at the Fermi energy: 0.220 states/eV/atom
Crystal system: cubic
Space-group type: Pm-3n
Magnetization: 0.00 μB/f.u.

***

Entry 8:
DFT (PBE) results for HgS after structural relaxation.

POSCAR file:
```
HgS
1.0
10.8247 0.0000 0.0000
0.0000 4.2915 0.0000
0.0000 0.0000 8.6036
Hg S
6 6
direct
0.0000 0.0949 0.0000
0.1679 0.2576 0.6155
0.3321 0.7424 0.1155
0.5000 0.9051 0.5000
0.6679 0.7424 0.1155
0.8321 0.2576 0.6155
0.0000 0.5701 0.7135
0.2183 0.1528 0.9924
0.2817 0.8472 0.4924
0.5000 0.4299 0.2135
0.7183 0.8472 0.4924
0.7817 0.1528 0.9924
```

Crystal system: orthorhombic
Space-group type: Pmn2_1
Magnetization: 0.00 μB/f.u.

***

Entry 9:
DFT (PBE) results for HgS after structural relaxation.

POSCAR file:
```
HgS
1.0
5.5685 0.0000 0.0000
0.0000 5.5685 0.0000
0.0000 0.0000 5.5685
Hg S
4 4
direct
0.0000 0.0000 0.0000
0.0000 0.5000 0.5000
0.5000 0.0000 0.5000
0.5000 0.5000 0.0000
0.0000 0.0000 0.5000
0.0000 0.5000 0.0000
0.5000 0.0000 0.0000
0.5000 0.5000 0.5000
```

DOS at the Fermi energy: 0.532 states/eV/atom
Crystal system: cubic
Space-group type: Fm-3m
Magnetization: 0.00 μB/f.u.

***

Entry 10:
DFT (PBE) results for HgS after structural relaxation.

POSCAR file:
```
HgS
1.0
10.3618 0.0000 0.0000
-5.1809 8.9736 0.0000
0.0000 0.0000 4.1754
Hg S
6 6
direct
0.0670 0.6961 0.2500
0.3039 0.3709 0.2500
0.3709 0.0670 0.7500
0.6291 0.9330 0.2500
0.6961 0.6291 0.7500
0.9330 0.3039 0.7500
0.0916 0.4181 0.2500
0.3264 0.9084 0.2500
0.4181 0.3264 0.7500
0.5819 0.6736 0.2500
0.6736 0.0916 0.7500
0.9084 0.5819 0.7500
```

DOS at the Fermi energy: 0.075 states/eV/atom
Crystal system: hexagonal
Space-group type: P6_3/m
Magnetization: 0.00 μB/f.u.

***

Entry 11:
DFT (PBE) results for HgS4 after structural relaxation.

POSCAR file:
```
HgS4
1.0
6.8285 0.0000 0.0000
0.0000 5.6096 0.0000
-6.5800 0.0000 7.3340
Hg S
2 8
direct
0.0000 0.0000 0.0000
0.0000 0.5000 0.5000
0.2767 0.0720 0.7762
0.2767 0.4280 0.2762
0.2922 0.2055 0.9662
0.2922 0.2945 0.4662
0.7078 0.7055 0.5338
0.7078 0.7945 0.0338
0.7233 0.5720 0.7238
0.7233 0.9280 0.2238
```

Crystal system: monoclinic
Space-group type: P2_1/c
Magnetization: 0.00 μB/f.u.
Polymorph energy (0 for the lowest one): 0 meV/atom

***

Entry 12:
DFT (PBE) results for Hg4S after structural relaxation.

POSCAR file:
```
Hg4S
1.0
5.4318 0.0000 0.0000
0.0000 5.4318 0.0000
0.0000 0.0000 5.4318
Hg S
4 1
direct
0.0000 0.0000 0.0000
0.0000 0.5000 0.5000
0.5000 0.0000 0.5000
0.5000 0.5000 0.0000
0.5000 0.5000 0.5000
```

DOS at the Fermi energy: 0.974 states/eV/atom
Crystal system: cubic
Space-group type: Pm-3m
Magnetization: 0.00 μB/f.u.

***

Entry 13:
DFT (PBE) results for HgS after structural relaxation.

POSCAR file:
```
HgS
1.0
4.2611 0.0000 0.0000
0.0000 13.3350 0.0000
0.0000 0.0000 6.2307
Hg S
6 6
direct
0.2500 0.1135 0.0798
0.2500 0.3865 0.0798
0.2500 0.7500 0.3931
0.7500 0.2500 0.6069
0.7500 0.6135 0.9202
0.7500 0.8865 0.9202
0.2500 0.2500 0.3656
0.2500 0.5928 0.1478
0.2500 0.9072 0.1478
0.7500 0.0928 0.8522
0.7500 0.4072 0.8522
0.7500 0.7500 0.6344
```

DOS at the Fermi energy: 0.037 states/eV/atom
Crystal system: orthorhombic
Space-group type: Pmmn
Magnetization: 0.00 μB/f.u.

***

E_tot per entry: -6.79 -4.52 -6.89 -2.34 -2.67 -2.26 -2.29 -2.28 -2.17 -2.30 -3.26 -0.82 -2.29 eV/atom